Entry from Alexandria via LeMat-Bulk: HfMn2HIr after structural relaxation (PBE).

- DOS(E_F): 0.893 states/eV per atom
- Distance to the lowest polymorph of the same formula: 0.000 eV/atom
- Spin magnetization: 4.92 μB/f.u.

Structure (POSCAR):
```
HfMn2HIr
1.0
-1.069 2.080 -2.993
1.744 -2.447 -2.323
-3.608 -2.286 -0.300
H Ir Mn Hf
1 1 2 1
Direct
0.000 0.000 0.000
0.500 0.500 0.500
0.500 0.000 0.000
0.000 0.500 0.000
0.000 0.000 0.500
```